Record 1
# ReHgS2 GGA-PBE relaxed
# **Volume**: 19.75 Å³/atom
# **ρ**: 9.5 g cm⁻³
# **Formation energy (no corrections)**: 190 kJ/mol of formula units
# **Total magnetic moment**: 0.00 μB per atom
# **Energy**: -19.03 eV/cell
data_ReHgS2
_symmetry_space_group_name_H-M 'P 1'
_symmetry_Int_Tables_number 1
_symmetry_space_group_name_Hall 'P 1'
_cell_length_a 11.189
_cell_length_b 11.189
_cell_length_c 11.189
_cell_angle_alpha 14.74
_cell_angle_beta 14.74
_cell_angle_gamma 14.74
loop_
_atom_site_label
_atom_site_type_symbol
_atom_site_fract_x
_atom_site_fract_y
_atom_site_fract_z
Re1 Re 0.000 0.000 0.000
Hg1 Hg 0.500 0.500 0.500
S1 S 0.069 0.069 0.069
S2 S 0.931 0.931 0.931

Record 2
# W2Au GGA-PBE relaxed
# **Volume**: 17.43 Å³/atom
# **E above lowest polymorph**: 327 meV/atom
# **ρ**: 17.9 g cm⁻³
# **Total magnetic moment**: 0.00 μB per atom
# **Energy**: -54.21 eV/cell
# **Formation energy**: 66.8 kJ/mol of atoms
data_W2Au
_symmetry_space_group_name_H-M 'P 1'
_symmetry_Int_Tables_number 1
_symmetry_space_group_name_Hall 'P 1'
_cell_length_a 5.185
_cell_length_b 5.185
_cell_length_c 5.185
_cell_angle_alpha 104.47
_cell_angle_beta 104.47
_cell_angle_gamma 120.01
loop_
_atom_site_label
_atom_site_type_symbol
_atom_site_fract_x
_atom_site_fract_y
_atom_site_fract_z
W1 W 0.135 0.635 0.769
W2 W 0.365 0.135 0.500
W3 W 0.635 0.865 0.500
W4 W 0.865 0.365 0.231
Au1 Au 0.250 0.250 0.000
Au2 Au 0.750 0.750 0.000

Record 3
# AcI5 GGA-PBE relaxed
# **Volume**: 44.51 Å³/atom
# **E above lowest polymorph**: 188 meV/atom
# **ρ**: 5.4 g cm⁻³
# **Formation energy (no corrections)**: -431 kJ/mol of formula units
# **Total magnetic moment**: 0.20 μB per atom
# **Energy**: -16.32 eV/cell
data_AcI5
_symmetry_space_group_name_H-M 'P 1'
_symmetry_Int_Tables_number 1
_symmetry_space_group_name_Hall 'P 1'
_cell_length_a 8.655
_cell_length_b 8.655
_cell_length_c 5.158
_cell_angle_alpha 90.00
_cell_angle_beta 90.00
_cell_angle_gamma 136.28
loop_
_atom_site_label
_atom_site_type_symbol
_atom_site_fract_x
_atom_site_fract_y
_atom_site_fract_z
Ac1 Ac 0.000 0.000 0.000
I1 I 0.136 0.864 0.500
I2 I 0.375 0.625 0.000
I3 I 0.500 0.500 0.500
I4 I 0.625 0.375 0.000
I5 I 0.864 0.136 0.500